--- a ---
Compound: SrWBr2
Source: the Alexandria database
Functional: GGA-PBE
Structure: relaxed

Cell lengths 3.634, 3.634, 10.278 Å; angles 90.00, 90.00, 90.06 degrees
Each line ends with the local moment (μB).
Sites, in units of the cell vectors:
Sr 0.500 0.500 0.250  0.01
Br 0.000 0.000 0.076  0.01
Br 0.000 0.000 0.424  0.01
W 0.500 0.500 0.750  3.23



--- b ---
Compound: SrWBr2
Source: the Alexandria database
Functional: GGA-PBE
Structure: relaxed

Cell lengths 9.895, 9.895, 9.895 Å; angles 19.83, 19.83, 19.83 degrees
Sites, in units of the cell vectors:
Sr 0.500 0.500 0.500
Br 0.914 0.914 0.914
Br 0.086 0.086 0.086
W 0.000 0.000 0.000



Quick one: most stable of them? b



--- a ---
Compound: Sr3WBr
Source: the Alexandria database
Functional: GGA-PBE
Structure: relaxed

Cell lengths 5.842, 5.842, 5.842 Å; angles 90.00, 90.00, 90.00 degrees
Sites, in units of the cell vectors:
Sr 0.000 0.500 0.000
Sr 0.000 0.000 0.500
Sr 0.500 0.000 0.000
Br 0.500 0.500 0.500
W 0.000 0.000 0.000



--- b ---
Compound: Sr3WBr
Source: the Alexandria database
Functional: GGA-PBE
Structure: relaxed

Cell lengths 5.856, 5.856, 5.856 Å; angles 90.00, 90.00, 90.00 degrees
Each line ends with the local moment (μB).
Sites, in units of the cell vectors:
Sr 0.000 0.500 0.000  -0.01
Sr 0.000 0.000 0.500  0.00
Sr 0.500 0.000 0.000  -0.01
Br 0.000 0.000 0.000  0.00
W 0.500 0.500 0.500  2.98



Quick one: most stable of them? a